(1)
Below is TaNiAu4 after structural relaxation, with properties calculated at the GGA-PBE level.

Properties
Crystal system = cubic
Energy of formation from the pure elements = 0.4697 eV/atom
V = 109 Å³/cell

abc: 5.3540 5.3540 5.3540
angles: 60.00 60.00 60.00
Last column: nearest neighbours and their distance in Å.
Element x y z (fractional)
Ta  0.0000  0.0000  0.0000  12 Au 3.14, 4 Ni 3.28
Au  0.3751  0.3751  0.3751  6 Au 2.67-2.68
Au  0.8747  0.3751  0.3751  6 Au 2.67-2.68
Au  0.3751  0.3751  0.8747  6 Au 2.67-2.68
Au  0.3751  0.8747  0.3751  6 Au 2.67-2.68
Ni  0.7500  0.7500  0.7500  12 Au 3.14, 4 Ta 3.28

(2)
Below is BaMg2InPt after structural relaxation, with properties calculated at the GGA-PBE level.

Properties
Crystal system = tetragonal
Energy of formation from the pure elements = -0.4775 eV/atom
V = 140 Å³/cell

abc: 5.1668 5.1668 5.2541
angles: 90.00 90.00 90.00
Last column: nearest neighbours and their distance in Å.
Element x y z (fractional)
Ba  0.5000  0.5000  0.5000  4 In 3.65, 8 Mg 3.68
Pt  0.0000  0.0000  0.0000  4 Mg 2.58, 2 In 2.63
Mg  0.5000  0.0000  0.0000  2 Pt 2.58
Mg  0.0000  0.5000  0.0000  2 Pt 2.58
In  0.0000  0.0000  0.5000  2 Pt 2.63

(3)
Below is Zr2TcMo after structural relaxation, with properties calculated at the GGA-PBE level.

Properties
Crystal system = trigonal
Energy of formation from the pure elements = 0.1849 eV/atom
V = 77 Å³/cell

abc: 9.3203 9.3203 9.3203
angles: 19.26 19.26 19.26
Last column: nearest neighbours and their distance in Å.
Element x y z (fractional)
Zr  0.0079  0.0079  0.0079  3 Tc 2.91, 9 Zr 3.12-3.21
Zr  0.2442  0.2442  0.2442  3 Mo 3.00, 9 Zr 3.12-3.21
Tc  0.7578  0.7578  0.7578  3 Mo 2.55
Mo  0.4901  0.4901  0.4901  3 Tc 2.55

(4)
Below is K3SrOs2O9 after structural relaxation, with properties calculated at the GGA-PBE level.

Properties
Crystal system = trigonal
V = 219 Å³/cell
E_form (uncorrected) = -1.54 eV/atom

abc: 5.8025 5.8025 7.5091
angles: 90.00 90.00 120.00
Last column: nearest neighbours and their distance in Å.
Element x y z (fractional)
O  0.1819  0.8181  0.2895  1 Os 1.85
O  0.1819  0.3638  0.2895  1 Os 1.85
O  0.5000  0.0000  0.0000  2 Os 2.02
O  0.5000  0.5000  0.0000  2 Os 2.02
O  0.8181  0.6362  0.7105  1 Os 1.85
O  0.3638  0.1819  0.7105  1 Os 1.85
O  0.6362  0.8181  0.2895  1 Os 1.85
O  0.8181  0.1819  0.7105  1 Os 1.85
O  0.0000  0.5000  0.0000  2 Os 2.02
K  0.0000  0.0000  0.0000  12 O 2.84-2.90
K  0.3333  0.6667  0.6837  9 O 2.91
K  0.6667  0.3333  0.3163  9 O 2.91
Os  0.6667  0.3333  0.8506  6 O 1.85-2.02
Os  0.3333  0.6667  0.1494  6 O 1.85-2.02
Sr  0.0000  0.0000  0.5000  6 O 2.42

(5)
Below is BaLiCa2Al after structural relaxation, with properties calculated at the GGA-PBE level.

Properties
Crystal system = tetragonal
Energy of formation from the pure elements = 0.0813 eV/atom
V = 168 Å³/cell

abc: 5.6955 5.6955 5.1718
angles: 90.00 90.00 90.00
Last column: nearest neighbours and their distance in Å.
Element x y z (fractional)
Ca  0.5000  0.0000  0.0000  2 Li 2.85
Ca  0.0000  0.5000  0.0000  2 Li 2.85
Al  0.0000  0.0000  0.5000  2 Li 2.59
Ba  0.5000  0.5000  0.5000  8 Ca 3.85, 4 Al 4.03
Li  0.0000  0.0000  0.0000  2 Al 2.59, 4 Ca 2.85

(6)
Below is Na3PuTh3Te8 after structural relaxation, with properties calculated at the GGA-PBE level.

Properties
Crystal system = monoclinic
V = 529 Å³/cell
E_form (uncorrected) = -1.10 eV/atom

abc: 8.9337 8.9338 9.2358
angles: 118.96 89.99 120.05
Last column: nearest neighbours and their distance in Å.
Element x y z (fractional)
Te  0.2493  0.4983  0.7391  2 Th 3.15, 1 Pu 3.20, 2 Na 3.28
Te  0.7486  0.4969  0.7450  3 Th 3.19, 3 Na 3.23-3.24
Te  0.7416  0.9905  0.7390  2 Th 3.15, 1 Pu 3.19, 2 Na 3.27-3.28
Te  0.2584  0.0095  0.2610  2 Th 3.15, 1 Pu 3.19, 2 Na 3.27-3.28
Te  0.7507  0.5017  0.2609  2 Th 3.15, 1 Pu 3.20, 2 Na 3.28
Te  0.7508  0.0096  0.2609  2 Th 3.15, 1 Pu 3.20, 2 Na 3.27-3.28
Te  0.2514  0.5031  0.2550  3 Th 3.19, 3 Na 3.23-3.24
Te  0.2492  0.9904  0.7391  2 Th 3.15, 1 Pu 3.20, 2 Na 3.27-3.28
Na  0.0000  0.0000  0.0000  6 Te 3.23-3.28
Na  0.5000  0.5000  0.0000  6 Te 3.24-3.28
Na  0.0000  0.5000  0.0000  6 Te 3.24-3.28
Pu  0.0000  0.0000  0.5000  6 Te 3.19-3.20
Th  0.5000  0.5000  0.5000  6 Te 3.15-3.19
Th  0.5000  0.0000  0.5000  6 Te 3.15-3.19
Th  0.0000  0.5000  0.5000  6 Te 3.15-3.19

Which of these has the lowest V?
Zr2TcMo